Entry 1:
Computed, not measured: a relaxed SrCaSe2 crystal at the PBE level of DFT.

```
4
Lattice="6.675 0.004 -0.001 5.413 3.905 -0.001 0.001 0.000 4.480" Properties=species:S:1:pos:R:3 pbc="T T T"
Se 11.970 3.871 3.919
Se 2.972 0.961 1.680
Sr 6.037 1.952 1.679
Ca 9.243 2.989 3.919
```

Calculated values
For the polymorph energy (0 for the lowest one), the calculation gives 172.6 meV per atom. Its symmetry is Amm2, No. 38. The value obtained for the electronic total energy is -18.1 eV/cell. The value obtained for the volume is 29.2 A^3/atom.

Entry 2:
Computed, not measured: a relaxed SrCaSe2 crystal at the PBE level of DFT.

```
4
Lattice="-1.521 3.526 2.016 -0.511 -0.013 4.307 5.941 3.571 2.898" Properties=species:S:1:pos:R:3 pbc="T T T"
Se 5.855 3.540 2.887
Se 2.040 3.573 4.621
Ca 2.932 5.313 6.916
Sr 0.977 1.771 2.305
```

Calculated values
For the polymorph energy (0 for the lowest one), the calculation gives 0.0 meV per atom. Its symmetry is R-3m, No. 166. The value obtained for the electronic total energy is -18.8 eV/cell. The value obtained for the volume is 28.9 A^3/atom.